Model 1:
# BaCoTe3, optimized geometry, DFT PBE-GGA
# M_tot (μB/cell): 0.9
data_BaCoTe3
_cell_length_a 5.2599
_cell_length_b 5.2599
_cell_length_c 5.2599
_cell_angle_alpha 90.00
_cell_angle_beta 90.00
_cell_angle_gamma 90.00
_space_group_name_H-M_alt 'P m -3 m'
_space_group_IT_number 221
_space_group_name_Hall '-P 4 2 3'
loop_
_atom_site_label
_atom_site_type_symbol
_atom_site_fract_x
_atom_site_fract_y
_atom_site_fract_z
Ba1 Ba 0.0000 0.0000 0.0000
Co1 Co 0.5000 0.5000 0.5000
Te1 Te 0.0000 0.5000 0.5000

---

Model 2:
# BaCoTe3, optimized geometry, DFT PBE-GGA
# M_tot (μB/cell): 2.5
data_BaCoTe3
_cell_length_a 6.4504
_cell_length_b 6.4504
_cell_length_c 6.4504
_cell_angle_alpha 90.00
_cell_angle_beta 90.00
_cell_angle_gamma 90.00
_space_group_name_H-M_alt 'P m -3 m'
_space_group_IT_number 221
_space_group_name_Hall '-P 4 2 3'
loop_
_atom_site_label
_atom_site_type_symbol
_atom_site_fract_x
_atom_site_fract_y
_atom_site_fract_z
Ba1 Ba 0.0000 0.0000 0.0000
Co1 Co 0.5000 0.5000 0.5000
Te1 Te 0.0000 0.0000 0.5000

---

Computed stability ranking, most favorable first: model 1, model 2